The following is a PBE calculation of a relaxed structure of TbCd12Hg7, from the Alexandria database.

Unit cell a=7.933 b=7.933 c=7.933 alpha=98.59 beta=98.59 gamma=98.59
Sites, in units of the cell vectors:
Tb: 0.000 0.000 0.000
Cd: 0.000 0.273 0.727
Cd: 0.000 0.727 0.273
Cd: 0.169 0.604 0.604
Cd: 0.273 0.000 0.727
Cd: 0.273 0.727 0.000
Cd: 0.396 0.396 0.831
Cd: 0.396 0.831 0.396
Cd: 0.604 0.169 0.604
Cd: 0.604 0.604 0.169
Cd: 0.727 0.000 0.273
Cd: 0.727 0.273 0.000
Cd: 0.831 0.396 0.396
Hg: 0.139 0.139 0.403
Hg: 0.139 0.403 0.139
Hg: 0.403 0.139 0.139
Hg: 0.500 0.500 0.500
Hg: 0.597 0.861 0.861
Hg: 0.861 0.597 0.861
Hg: 0.861 0.861 0.597

Summary:
Formation energy: -4.6 kJ per mole of atoms
VASP energy: -18.67 eV for the cell shown
M_tot: 0.000 μB per formula unit
Volume: 24.03 Å³/atom
Space group: R-3m